No. 1
TaFeAg2 | PBE | optimized geometry

Properties
Energy of formation ... 0.415 eV per atom
Energy above the most stable polymorph in this dataset ... 197 meV per atom
Electronic total energy ... -6.090 eV/atom

a = 2.7291 Å, b = 4.7761 Å, c = 5.0922 Å
α = 90.00°, β = 99.46°, γ = 90.00°
Last column: nearest neighbours and their distance in Å.
Sites, in units of the cell vectors:
1 Ta 0.0000 0.0000 0.0000  2 Fe 2.68, 2 Ta 2.73, 4 Ag 2.92
2 Fe 0.5000 0.0000 0.5000  2 Ta 2.68, 2 Fe 2.73, 4 Ag 2.77
3 Ag 0.3111 0.5000 0.7405  5 Ag 2.67-2.81, 2 Fe 2.77, 2 Ta 2.92
4 Ag 0.6889 0.5000 0.2595  5 Ag 2.67-2.81, 2 Fe 2.77, 2 Ta 2.92

***

No. 2
LaPm6DyTm2 | PBE | optimized geometry

Properties
Energy of formation ... 0.116 eV per atom
Electronic total energy ... -4.582 eV/atom

a = 8.9047 Å, b = 8.9047 Å, c = 9.7222 Å
α = 94.12°, β = 94.12°, γ = 117.22°
Last column: nearest neighbours and their distance in Å.
Sites, in units of the cell vectors:
1 La 0.0945 0.9055 0.7500  6 Pm 3.48-3.60, 2 Tm 3.60
2 La 0.9055 0.0945 0.2500  6 Pm 3.48-3.60, 2 Tm 3.60
3 Pm 0.0103 0.7956 0.3794  3 Pm 3.25-3.44, 3 Tm 3.33-3.48, 2 La 3.48-3.60
4 Pm 0.0656 0.5195 0.1810  2 Pm 3.25-3.57, 1 Tm 3.49, 1 La 3.52, 1 Dy 3.56
5 Pm 0.2044 0.9897 0.1206  3 Pm 3.25-3.44, 3 Tm 3.33-3.48, 2 La 3.48-3.60
6 Pm 0.2597 0.6097 0.5552  7 Pm 3.44-3.84, 2 Tm 3.46-3.85, 2 Dy 3.67-3.80
7 Pm 0.3903 0.7403 0.9448  7 Pm 3.44-3.84, 2 Tm 3.46-3.85, 2 Dy 3.67-3.80
8 Pm 0.4805 0.9344 0.3190  2 Pm 3.25-3.57, 1 Tm 3.49, 1 La 3.52, 1 Dy 3.56
9 Pm 0.5195 0.0656 0.6810  2 Pm 3.25-3.57, 1 Tm 3.49, 1 La 3.52, 1 Dy 3.56
10 Pm 0.6097 0.2597 0.0552  7 Pm 3.44-3.84, 2 Tm 3.46-3.85, 2 Dy 3.67-3.80
11 Pm 0.7403 0.3903 0.4448  7 Pm 3.44-3.84, 2 Tm 3.46-3.85, 2 Dy 3.67-3.80
12 Pm 0.7956 0.0103 0.8794  3 Pm 3.25-3.44, 3 Tm 3.33-3.48, 2 La 3.48-3.60
13 Pm 0.9344 0.4805 0.8190  2 Pm 3.25-3.57, 1 Tm 3.49, 1 La 3.52, 1 Dy 3.56
14 Pm 0.9897 0.2044 0.6206  3 Pm 3.25-3.44, 3 Tm 3.33-3.48, 2 La 3.48-3.60
15 Dy 0.4689 0.5311 0.2500  4 Tm 3.42, 6 Pm 3.56-3.80
16 Dy 0.5311 0.4689 0.7500  4 Tm 3.42, 6 Pm 3.56-3.80
17 Tm 0.2082 0.3049 0.9530  6 Pm 3.33-3.66, 2 Dy 3.42, 1 La 3.60
18 Tm 0.3049 0.2082 0.4530  6 Pm 3.33-3.66, 2 Dy 3.42, 1 La 3.60
19 Tm 0.6951 0.7918 0.5470  6 Pm 3.33-3.66, 2 Dy 3.42, 1 La 3.60
20 Tm 0.7918 0.6951 0.0470  6 Pm 3.33-3.66, 2 Dy 3.42, 1 La 3.60

***

No. 3
HfNb2GaH | PBE | optimized geometry

Properties
Energy above the most stable polymorph in this dataset ... 0 meV per atom
Electronic total energy ... -7.560 eV/atom

a = 4.0583 Å, b = 4.0583 Å, c = 4.5760 Å
α = 90.00°, β = 90.00°, γ = 90.00°
Last column: nearest neighbours and their distance in Å.
Sites, in units of the cell vectors:
1 Hf 0.0000 0.0000 0.0000  2 H 2.29
2 Nb 0.0000 0.5000 0.5000  2 H 2.03
3 Nb 0.5000 0.0000 0.5000  2 H 2.03
4 Ga 0.5000 0.5000 0.0000  4 Hf 2.87, 8 Nb 3.06
5 H 0.0000 0.0000 0.5000  4 Nb 2.03

***

No. 4
HfCu2TcO | PBE | optimized geometry

Properties
Energy above the most stable polymorph in this dataset ... 0 meV per atom
Electronic total energy ... -6.989 eV/atom
Formation energy from raw total energies ... -142 kJ/mol of formula units

a = 4.0359 Å, b = 4.0359 Å, c = 4.1868 Å
α = 90.00°, β = 90.00°, γ = 90.00°
Last column: nearest neighbours and their distance in Å.
Sites, in units of the cell vectors:
1 Hf 0.0000 0.0000 0.0000  2 O 2.09
2 Cu 0.0000 0.5000 0.5000  2 O 2.02
3 Cu 0.5000 0.0000 0.5000  2 O 2.02
4 Tc 0.5000 0.5000 0.0000  4 Hf 2.85, 8 Cu 2.91
5 O 0.0000 0.0000 0.5000  4 Cu 2.02, 2 Hf 2.09

***

No. 5
Cs2KLiTl | PBE | optimized geometry

Properties
Energy of formation ... 0.100 eV per atom
Electronic total energy ... -1.317 eV/atom

a = 7.3714 Å, b = 7.3714 Å, c = 5.6377 Å
α = 90.00°, β = 90.00°, γ = 90.00°
Last column: nearest neighbours and their distance in Å.
Sites, in units of the cell vectors:
1 Cs 0.0000 0.5000 0.0000  2 Li 3.69
2 Cs 0.5000 0.0000 0.0000  2 Li 3.69
3 K 0.0000 0.0000 0.5000  8 Cs 4.64
4 Li 0.5000 0.5000 0.0000  2 Tl 2.82
5 Tl 0.5000 0.5000 0.5000  2 Li 2.82

***

No. 6
Sr6Pd2I3N | PBE | optimized geometry

Properties
Electronic total energy ... -3.755 eV/atom
Formation energy from raw total energies ... -1120 kJ/mol of formula units

a = 7.5755 Å, b = 7.5755 Å, c = 8.4128 Å
α = 98.64°, β = 98.64°, γ = 119.93°
Last column: nearest neighbours and their distance in Å.
Sites, in units of the cell vectors:
1 Sr 0.0621 0.3578 0.1845  1 N 2.69
2 Sr 0.2342 0.2342 0.8128  1 N 2.70
3 Sr 0.3578 0.0621 0.1845  1 N 2.69
4 Sr 0.6422 0.9379 0.8155  1 N 2.69
5 Sr 0.7658 0.7658 0.1872  1 N 2.70
6 Sr 0.9379 0.6422 0.8155  1 N 2.69
7 Pd 0.3337 0.6663 0.0000  6 Sr 3.06-3.07
8 Pd 0.6663 0.3337 0.0000  6 Sr 3.06-3.07
9 I 0.1693 0.8307 0.5000  6 Sr 3.49-3.76
10 I 0.5000 0.5000 0.5000  6 Sr 3.48-3.76
11 I 0.8307 0.1693 0.5000  6 Sr 3.49-3.76
12 N 0.0000 0.0000 0.0000  6 Sr 2.69-2.70

***

No. 7
SnAsH2F | PBE | optimized geometry

Properties
Electronic total energy ... -3.448 eV/atom

a = 3.7368 Å, b = 3.7368 Å, c = 5.5520 Å
α = 90.00°, β = 90.00°, γ = 90.00°
Last column: nearest neighbours and their distance in Å.
Sites, in units of the cell vectors:
1 Sn 0.0000 0.0000 0.0000  4 H 1.87
2 As 0.0000 0.0000 0.5000  4 F 2.64, 2 Sn 2.78
3 H 0.0000 0.5000 0.0000  2 Sn 1.87
4 H 0.5000 0.0000 0.0000  2 Sn 1.87
5 F 0.5000 0.5000 0.5000  4 As 2.64

***

No. 8
PaTcAs | PBE | optimized geometry

Properties
Energy of formation ... -0.579 eV per atom
Energy above the most stable polymorph in this dataset ... 0 meV per atom
Electronic total energy ... -8.749 eV/atom

a = 4.4194 Å, b = 4.4194 Å, c = 3.4211 Å
α = 90.00°, β = 90.00°, γ = 120.00°
Last column: nearest neighbours and their distance in Å.
Sites, in units of the cell vectors:
1 Pa 0.0000 0.0000 0.0000  6 As 3.07, 6 Tc 3.07, 2 Pa 3.42
2 Tc 0.3333 0.6667 0.5000  3 As 2.55
3 As 0.6667 0.3333 0.5000  3 Tc 2.55

***

No. 9
NaHoSb2 | PBE | optimized geometry

Properties
Energy above the most stable polymorph in this dataset ... 0 meV per atom
Electronic total energy ... -4.118 eV/atom
Formation energy from raw total energies ... -225 kJ/mol of formula units

a = 4.0229 Å, b = 4.0229 Å, c = 6.9101 Å
α = 90.00°, β = 90.00°, γ = 90.00°
Last column: nearest neighbours and their distance in Å.
Sites, in units of the cell vectors:
1 Na 0.0000 0.0000 0.0000  8 Sb 3.42, 2 Ho 3.46
2 Ho 0.0000 0.0000 0.5000  8 Sb 3.24, 2 Na 3.46
3 Sb 0.5000 0.5000 0.2758  1 Sb 3.10, 4 Ho 3.24, 4 Na 3.42
4 Sb 0.5000 0.5000 0.7242  1 Sb 3.10, 4 Ho 3.24, 4 Na 3.42